An optimized crystal structure of BaCa2Br, computed with PBE.

Cell lengths 7.805, 7.805, 4.080 Å; angles 75.28, 75.28, 125.19 degrees
Sites, in units of the cell vectors:
Ba: 0.500 0.000 0.500
Ca: 0.500 0.500 0.000
Ca: 0.000 0.000 0.000
Br: 0.000 0.500 0.500

- Density: 2.92 g/cm³
- Crystal system: monoclinic
- N(E_F): 0.925 states/eV per atom
- Symmetry: C2/m
- Final energy: -2.391 eV/atom